1.
Compound: NaTiI2O
Source: Alexandria via LeMat-Bulk
Functional: SCAN
Structure: single point on PBEsol structure

Cell: 4.0753 5.2136 5.2136 Å, 90.00 90.00 90.00°
Last column: nearest neighbours and their distance in Å.
Fractional coordinates of all 5 atoms:
Ti  0.5000  0.5000  0.5000  8 I 3.31, 4 Na 3.69
I  0.0000  0.5000  0.0000  2 O 2.61
I  0.0000  0.0000  0.5000  2 O 2.61
Na  0.5000  0.0000  0.0000  2 O 2.04
O  0.0000  0.0000  0.0000  2 Na 2.04

Output
* formation energy without anion corrections: -130 meV per atom
* magnetic moment: 2.5 μB per formula unit


2.
Compound: CuCSN
Source: Alexandria via LeMat-Bulk
Functional: SCAN
Structure: single point on PBEsol structure

Cell: 3.7425 3.7425 10.8565 Å, 90.00 90.00 120.00°
Last column: nearest neighbours and their distance in Å.
Fractional coordinates of all 8 atoms:
N  0.6667  0.3333  0.8279  1 C 1.18
Cu  0.3333  0.6667  0.4992  1 N 1.86
C  0.3333  0.6667  0.2197  1 N 1.18
Cu  0.6667  0.3333  0.9992  1 N 1.86
S  0.3333  0.6667  0.0670  1 C 1.66
C  0.6667  0.3333  0.7197  1 N 1.18
N  0.3333  0.6667  0.3279  1 C 1.18
S  0.6667  0.3333  0.5670  1 C 1.66

Output
* formation energy without anion corrections: 137 meV per atom
* magnetic moment: 0.0 μB per formula unit


3.
Compound: K2MoOs
Source: Alexandria via LeMat-Bulk
Functional: SCAN
Structure: single point on PBEsol structure

Cell: 3.4211 3.4211 10.3660 Å, 90.00 90.00 90.00°
Last column: nearest neighbours and their distance in Å.
Fractional coordinates of all 4 atoms:
Mo  0.0000  0.0000  0.5972  4 Os 2.49
K  0.5000  0.5000  0.3337  1 Os 3.34, 4 K 3.42, 4 Mo 3.65
K  0.0000  0.0000  0.9134  1 Mo 3.28, 4 K 3.42, 4 Os 3.60
Os  0.5000  0.5000  0.6558  4 Mo 2.49

Output
* E above lowest polymorph: 0 kJ/mol of formula units
* energy of formation from the pure elements: 3.10 eV/f.u.
* magnetic moment: 0.4 μB per formula unit


4.
Compound: SrMg2In
Source: Alexandria via LeMat-Bulk
Functional: SCAN
Structure: single point on PBEsol structure

Cell: 3.5869 4.9208 6.6180 Å, 90.00 105.72 90.00°
Last column: nearest neighbours and their distance in Å.
Fractional coordinates of all 4 atoms:
Mg  0.6016  0.5000  0.2031  2 In 3.21, 6 Mg 3.23-3.59
Sr  0.9238  0.0000  0.8476  3 Mg 3.34-3.52, 4 In 3.37, 2 Sr 3.59
In  0.3104  0.5000  0.6207  4 Mg 2.93-3.21
Mg  0.1861  0.0000  0.3721  2 In 2.93, 4 Mg 3.23

Output
* energy of formation from the pure elements: -0.81 eV/f.u.
* magnetic moment: 0.0 μB per formula unit


5.
Compound: Cd2IrPtN
Source: Alexandria via LeMat-Bulk
Functional: SCAN
Structure: single point on PBEsol structure

Cell: 3.5438 5.2117 5.2117 Å, 90.00 90.00 90.00°
Last column: nearest neighbours and their distance in Å.
Fractional coordinates of all 5 atoms:
Cd  0.0000  0.0000  0.5000  2 Pt 2.61
Pt  0.0000  0.0000  0.0000  2 N 1.77
Ir  0.5000  0.5000  0.5000  8 Cd 3.15
Cd  0.0000  0.5000  0.0000  2 Pt 2.61
N  0.5000  0.0000  0.0000  2 Pt 1.77

Output
* formation energy without anion corrections: 934 meV per atom
* magnetic moment: 0.2 μB per formula unit


6.
Compound: Co2SbP
Source: Alexandria via LeMat-Bulk
Functional: SCAN
Structure: single point on PBEsol structure

Cell: 3.5318 3.5318 4.9585 Å, 110.86 110.86 90.00°
Last column: nearest neighbours and their distance in Å.
Fractional coordinates of all 4 atoms:
P  0.5000  0.5000  0.0000  8 Co 2.50-2.78, 4 Sb 2.78
Sb  0.2500  0.7500  0.5000  8 Co 2.50-2.78, 4 P 2.78
Co  0.7500  0.2500  0.5000  4 Sb 2.50, 4 Co 2.78, 4 P 2.78
Co  0.0000  0.0000  0.0000  4 P 2.50, 4 Sb 2.78, 4 Co 2.78

Output
* formation energy without anion corrections: 465 meV per atom
* E above lowest polymorph: 208 kJ/mol of formula units
* magnetic moment: 1.5 μB per formula unit


7.
Compound: MgCdHg2
Source: Alexandria via LeMat-Bulk
Functional: SCAN
Structure: single point on PBEsol structure

Cell: 3.3100 4.9461 5.7311 Å, 101.73 90.00 109.55°
Last column: nearest neighbours and their distance in Å.
Fractional coordinates of all 4 atoms:
Cd  0.5000  0.0000  0.0000  6 Hg 2.98-3.00, 4 Mg 3.31, 2 Cd 3.31
Hg  0.7459  0.4919  0.7430  3 Mg 2.93-3.00, 3 Cd 2.98-3.00, 2 Hg 3.26
Mg  0.0000  0.0000  0.5000  6 Hg 2.93-3.00
Hg  0.2541  0.5081  0.2570  3 Mg 2.93-3.00, 3 Cd 2.98-3.00, 2 Hg 3.26

Output
* energy of formation from the pure elements: -0.64 eV/f.u.
* magnetic moment: 0.0 μB per formula unit


8.
Compound: CoP2WS
Source: Alexandria via LeMat-Bulk
Functional: SCAN
Structure: single point on PBEsol structure

Cell: 4.5310 4.6738 4.6738 Å, 90.00 90.00 90.00°
Last column: nearest neighbours and their distance in Å.
Fractional coordinates of all 5 atoms:
P  0.0000  0.5000  0.0000  2 W 2.34
W  0.0000  0.0000  0.0000  2 S 2.27, 4 P 2.34
Co  0.5000  0.5000  0.5000  8 P 3.25, 4 S 3.30
S  0.5000  0.0000  0.0000  2 W 2.27
P  0.0000  0.0000  0.5000  2 W 2.34

Output
* formation energy without anion corrections: 835 meV per atom
* magnetic moment: 2.6 μB per formula unit


9.
Compound: AlZn2Cu
Source: Alexandria via LeMat-Bulk
Functional: SCAN
Structure: single point on PBEsol structure

Cell: 3.7613 3.7613 4.6700 Å, 113.75 113.75 90.00°
Last column: nearest neighbours and their distance in Å.
Fractional coordinates of all 4 atoms:
Cu  0.0000  0.0000  0.0000  4 Al 2.66, 8 Zn 2.69
Zn  0.7500  0.2500  0.5000  4 Zn 2.66, 4 Al 2.69, 4 Cu 2.69
Zn  0.2500  0.7500  0.5000  4 Zn 2.66, 4 Al 2.69, 4 Cu 2.69
Al  0.5000  0.5000  0.0000  4 Cu 2.66, 8 Zn 2.69

Output
* energy of formation from the pure elements: -0.29 eV/f.u.
* magnetic moment: 0.0 μB per formula unit


10.
Compound: Ba3Mg
Source: Alexandria via LeMat-Bulk
Functional: SCAN
Structure: single point on PBEsol structure

Cell: 4.5183 6.4200 7.6167 Å, 114.93 107.25 90.00°
Last column: nearest neighbours and their distance in Å.
Fractional coordinates of all 4 atoms:
Ba  0.5000  0.0000  0.0000  4 Mg 3.93, 8 Ba 4.30-4.31
Ba  0.2807  0.2807  0.5615  2 Mg 3.65, 4 Ba 4.01
Mg  0.0000  0.5000  0.0000  8 Ba 3.65-3.93
Ba  0.7193  0.7193  0.4385  2 Mg 3.65, 4 Ba 4.01

Output
* E above lowest polymorph: 11 kJ/mol of formula units
* energy of formation from the pure elements: 0.08 eV/f.u.
* magnetic moment: 1.0 μB per formula unit


11.
Compound: Mg5Tl3
Source: Alexandria via LeMat-Bulk
Functional: SCAN
Structure: single point on PBEsol structure

Cell: 4.6828 6.3046 6.3046 Å, 97.44 90.00 90.00°
Last column: nearest neighbours and their distance in Å.
Fractional coordinates of all 8 atoms:
Mg  0.5000  0.7243  0.7243  6 Tl 2.99-3.25, 6 Mg 3.28-3.34
Tl  0.5000  0.7808  0.2192  10 Mg 3.09-3.25
Tl  0.5000  0.2192  0.7808  10 Mg 3.09-3.25
Mg  0.0000  0.0000  0.5000  6 Tl 3.15, 6 Mg 3.15-3.34
Mg  0.5000  0.2757  0.2757  6 Tl 2.99-3.25, 6 Mg 3.28-3.34
Mg  0.0000  0.5000  0.0000  6 Tl 3.15, 6 Mg 3.15-3.34
Mg  0.0000  0.0000  0.0000  4 Tl 3.13, 8 Mg 3.15-3.28
Tl  0.0000  0.5000  0.5000  8 Mg 2.99-3.15

Output
* E above lowest polymorph: 3 kJ/mol of formula units
* energy of formation from the pure elements: -1.15 eV/f.u.
* magnetic moment: 0.0 μB per formula unit


12.
Compound: CoRe2Si
Source: Alexandria via LeMat-Bulk
Functional: SCAN
Structure: single point on PBEsol structure

Cell: 2.7966 2.7966 6.4472 Å, 90.00 90.00 90.00°
Last column: nearest neighbours and their distance in Å.
Fractional coordinates of all 4 atoms:
Re  0.5000  0.5000  0.2699  4 Si 2.57, 8 Re 2.67-2.80, 1 Co 2.87
Co  0.5000  0.5000  0.7148  4 Si 2.33
Si  0.0000  0.0000  0.5238  4 Co 2.33, 4 Re 2.57
Re  0.0000  0.0000  0.9915  4 Co 2.66, 8 Re 2.67-2.80

Output
* formation energy without anion corrections: -125 meV per atom
* magnetic moment: 1.2 μB per formula unit


Number 1: E_tot -20.122 eV per atom. Number 2: E_tot -10.918 eV per atom. Number 3: E_tot -30.081 eV per atom. Number 4: E_tot -16.604 eV per atom. Number 5: E_tot -41.349 eV per atom. Number 6: E_tot -20.102 eV per atom. Number 7: E_tot -43.090 eV per atom. Number 8: E_tot -22.648 eV per atom. Number 9: E_tot -12.567 eV per atom. Number 10: E_tot -30.886 eV per atom. Number 11: E_tot -30.387 eV per atom. Number 12: E_tot -42.504 eV per atom.